1.
This record from the Alexandria database describes a relaxed DyTl2Au crystal. The functional is PBE.

density: 13.03 g cm⁻³
E above lowest polymorph: 0 meV per atom
V: 24.47 A^3/atom
ΔE_f: -0.32 eV per atom
size of the total moment: 0.00 Bohr magnetons per cell

Cell and atoms, written as POSCAR:
```
DyTl2Au
1.0
4.569 0.000 0.000
0.000 4.569 0.000
0.000 0.000 4.688
Dy Tl Au
1 2 1
Cartesian
0.000 0.000 0.000 Dy
0.000 2.285 2.344 Tl
2.285 0.000 2.344 Tl
2.285 2.285 0.000 Au
```



2.
This record from the Alexandria database describes a relaxed UPa2Fe crystal. The functional is PBE.

density: 15.70 g cm⁻³
E above lowest polymorph: 0 meV per atom
V: 19.98 A^3/atom
ΔE_f: 0.07 eV per atom
size of the total moment: 0.09 Bohr magnetons per cell

Cell and atoms, written as POSCAR:
```
UPa2Fe
1.0
5.085 0.000 0.000
0.000 5.085 0.000
0.000 0.000 3.091
U Pa Fe
1 2 1
Cartesian
0.000 0.000 0.000 U
0.000 2.543 1.546 Pa
2.543 0.000 1.546 Pa
2.543 2.543 0.000 Fe
```



3.
This record from the Alexandria database describes a relaxed Tb3SnH crystal. The functional is PBE.

density: 8.16 g cm⁻³
E above lowest polymorph: 57 meV per atom
V: 24.29 A^3/atom
size of the total moment: 0.00 Bohr magnetons per cell

Cell and atoms, written as POSCAR:
```
Tb3SnH
1.0
6.562 0.000 0.000
0.000 3.580 0.000
-1.638 0.000 10.339
Tb Sn H
6 2 2
Cartesian
-0.037 0.895 3.697 Tb
-0.001 0.895 9.365 Tb
1.598 2.685 6.601 Tb
3.326 0.895 3.738 Tb
4.925 2.685 0.974 Tb
4.961 2.685 6.642 Tb
1.656 2.685 1.642 Sn
3.268 0.895 8.697 Sn
0.019 0.895 7.058 H
4.904 2.685 3.281 H
```



4.
This record from the Alexandria database describes a relaxed SmThPd3 crystal. The functional is PBE.

density: 10.25 g cm⁻³
V: 22.74 A^3/atom
ΔE_f: -0.76 eV per atom
size of the total moment: 0.00 Bohr magnetons per cell

Cell and atoms, written as POSCAR:
```
SmThPd3
1.0
4.616 0.000 0.000
0.000 5.912 0.000
0.000 0.000 8.333
Sm Th Pd
2 2 6
Cartesian
1.154 1.478 0.951 Sm
3.462 4.434 7.383 Sm
1.154 4.434 3.702 Th
3.462 1.478 4.632 Th
1.154 0.084 6.170 Pd
1.154 2.872 6.170 Pd
1.154 4.434 0.869 Pd
3.462 1.478 7.464 Pd
3.462 3.040 2.163 Pd
3.462 5.828 2.163 Pd
```



5.
This record from the Alexandria database describes a relaxed Rb3ThSn2Te6 crystal. The functional is PBE.

density: 5.20 g cm⁻³
energy relative to the elements, uncorrected: -0.841 eV per atom
V: 39.72 A^3/atom
size of the total moment: 0.00 Bohr magnetons per cell

Cell and atoms, written as POSCAR:
```
Rb3ThSn2Te6
1.0
4.020 -6.962 0.000
4.020 6.962 0.000
-2.675 0.000 8.515
Rb Th Sn Te
3 1 2 6
Cartesian
0.000 0.000 0.000 Rb
4.020 2.354 0.000 Rb
4.020 -2.354 0.000 Rb
2.683 0.000 4.257 Th
2.683 4.648 4.257 Sn
2.683 -4.648 4.257 Sn
1.355 2.299 2.562 Te
0.031 0.000 5.959 Te
1.355 -2.299 2.562 Te
4.011 2.299 5.952 Te
5.335 0.000 2.556 Te
4.011 -2.299 5.952 Te
```



6.
This record from the Alexandria database describes a relaxed AlZn2AgS4 crystal. The functional is PBE.

density: 3.91 g cm⁻³
energy relative to the elements, uncorrected: -0.771 eV per atom
V: 20.90 A^3/atom
size of the total moment: 0.00 Bohr magnetons per cell

Cell and atoms, written as POSCAR:
```
AlZn2AgS4
1.0
-2.792 2.792 5.363
2.792 -2.792 5.363
2.792 2.792 -5.363
Al Zn Ag S
1 2 1 4
Cartesian
0.000 0.000 0.000 Al
2.792 0.000 2.682 Zn
0.000 2.792 2.682 Zn
0.000 0.000 5.363 Ag
1.282 1.282 -1.374 S
1.510 -1.510 6.737 S
1.510 1.510 3.989 S
-1.510 1.510 6.737 S
```



7.
This record from the Alexandria database describes a relaxed Ca2MgZr crystal. The functional is PBE.

density: 2.67 g cm⁻³
V: 30.39 A^3/atom
ΔE_f: 0.34 eV per atom
size of the total moment: 2.05 Bohr magnetons per cell

Cell and atoms, written as POSCAR:
```
Ca2MgZr
1.0
5.782 0.000 0.000
0.000 5.782 0.000
0.000 0.000 3.636
Ca Mg Zr
2 1 1
Cartesian
0.000 2.891 0.000 Ca
2.891 0.000 0.000 Ca
0.000 0.000 1.818 Mg
2.891 2.891 1.818 Zr
```



8.
This record from the Alexandria database describes a relaxed PmNF2 crystal. The functional is PBE.

density: 5.02 g cm⁻³
energy relative to the elements, uncorrected: -2.840 eV per atom
V: 16.30 A^3/atom
size of the total moment: 0.00 Bohr magnetons per cell

Cell and atoms, written as POSCAR:
```
PmNF2
1.0
3.648 0.000 0.000
0.719 6.053 0.000
0.016 2.273 5.905
Pm N F
2 2 4
Cartesian
0.922 1.332 1.165 Pm
3.462 6.994 4.741 Pm
1.699 3.407 0.097 N
2.684 4.918 5.809 N
0.917 2.519 4.957 F
1.644 6.294 3.304 F
2.740 2.032 2.602 F
3.467 5.807 0.949 F
```



Repeat the second record exactly.
This record from the Alexandria database describes a relaxed UPa2Fe crystal. The functional is PBE.

density: 15.70 g cm⁻³
E above lowest polymorph: 0 meV per atom
V: 19.98 A^3/atom
ΔE_f: 0.07 eV per atom
size of the total moment: 0.09 Bohr magnetons per cell

Cell and atoms, written as POSCAR:
```
UPa2Fe
1.0
5.085 0.000 0.000
0.000 5.085 0.000
0.000 0.000 3.091
U Pa Fe
1 2 1
Cartesian
0.000 0.000 0.000 U
0.000 2.543 1.546 Pa
2.543 0.000 1.546 Pa
2.543 2.543 0.000 Fe
```